VASP calculation (PBE-GGA) on a relaxed structure of Pm2ErTl3. Values from VASP.

Structure (Quantum ESPRESSO input):
```
&SYSTEM
  ibrav = 0, nat = 6, ntyp = 3
/
ATOMIC_SPECIES
Pm 145.00 Pm.upf
Er 167.26 Er.upf
Tl 204.38 Tl.upf
ATOMIC_POSITIONS crystal
Pm 0.5000 0.5000 0.8283
Pm 0.5000 0.5000 0.1717
Er 0.5000 0.5000 0.5000
Tl 0.0000 0.0000 0.0000
Tl 0.0000 0.0000 0.6563
Tl 0.0000 0.0000 0.3437
CELL_PARAMETERS angstrom
-1.8009 -1.2556 -3.1070
-1.7778 -2.6320 2.0941
-8.7879 7.5581 2.0392
```

Calculated values
The space-group type is No. 123. The crystal system is tetragonal. The spin magnetization comes out at 0.00 Bohr magnetons per cell. As for the volume: 170.3 Å³ per cell. The total energy comes out at -23.374 eV for the cell shown. The energy of formation from the pure elements comes out at -0.3685 eV/atom.

---

VASP calculation (PBE-GGA) on a relaxed structure of Pm2Er3Tl. Values from VASP.

Structure (Quantum ESPRESSO input):
```
&SYSTEM
  ibrav = 0, nat = 6, ntyp = 3
/
ATOMIC_SPECIES
Pm 145.00 Pm.upf
Er 167.26 Er.upf
Tl 204.38 Tl.upf
ATOMIC_POSITIONS crystal
Pm 0.6904 0.3088 0.3809
Pm 0.3096 0.9279 0.6191
Er 0.0000 0.9199 0.0000
Er 0.3653 0.4904 0.7305
Er 0.6347 0.7598 0.2695
Tl 0.5000 0.3362 0.0000
CELL_PARAMETERS angstrom
3.4510 0.0000 0.0000
0.0000 6.4360 0.0000
-1.7255 -3.2180 8.7358
```

Calculated values
The space-group type is No. 44. The crystal system is orthorhombic. The spin magnetization comes out at 0.00 Bohr magnetons per cell. As for the volume: 194.0 Å³ per cell. The total energy comes out at -24.868 eV for the cell shown. The energy of formation from the pure elements comes out at 0.1147 eV/atom.

---

VASP calculation (PBE-GGA) on a relaxed structure of Pm2Er2Tl3. Values from VASP.

Structure (Quantum ESPRESSO input):
```
&SYSTEM
  ibrav = 0, nat = 7, ntyp = 3
/
ATOMIC_SPECIES
Pm 145.00 Pm.upf
Er 167.26 Er.upf
Tl 204.38 Tl.upf
ATOMIC_POSITIONS crystal
Pm 0.5697 0.5000 0.8607
Pm 0.4303 0.5000 0.1393
Er 0.7028 0.5000 0.5944
Er 0.2972 0.5000 0.4056
Tl 0.8607 0.0000 0.2786
Tl 0.0000 0.0000 0.0000
Tl 0.1393 0.0000 0.7214
CELL_PARAMETERS angstrom
-1.5363 1.6887 -2.6896
-1.0767 -3.1488 -1.3620
-14.5246 1.8707 7.1572
```

Calculated values
The space-group type is No. 65. The crystal system is orthorhombic. The spin magnetization comes out at 0.00 Bohr magnetons per cell. As for the volume: 205.6 Å³ per cell. The total energy comes out at -27.307 eV for the cell shown. The energy of formation from the pure elements comes out at -0.2258 eV/atom.

---

VASP calculation (PBE-GGA) on a relaxed structure of PmEr2Tl. Values from VASP.

Structure (Quantum ESPRESSO input):
```
&SYSTEM
  ibrav = 0, nat = 4, ntyp = 3
/
ATOMIC_SPECIES
Tl 204.38 Tl.upf
Pm 145.00 Pm.upf
Er 167.26 Er.upf
ATOMIC_POSITIONS crystal
Tl 0.5000 0.5000 0.5000
Pm 0.0000 0.0000 0.0000
Er 0.2500 0.2500 0.2500
Er 0.7500 0.7500 0.7500
CELL_PARAMETERS angstrom
5.4682 0.0000 0.0000
2.7341 4.7356 0.0000
2.7341 1.5785 4.4648
```

Calculated values
The space-group type is No. 225. The crystal system is cubic. The spin magnetization comes out at 1.58 Bohr magnetons per cell. As for the volume: 115.6 Å³ per cell. The total energy comes out at -16.207 eV for the cell shown. The energy of formation from the pure elements comes out at 0.0088 eV/atom.

---

VASP calculation (PBE-GGA) on a relaxed structure of PmEr2Tl4. Values from VASP.

Structure (Quantum ESPRESSO input):
```
&SYSTEM
  ibrav = 0, nat = 7, ntyp = 3
/
ATOMIC_SPECIES
Pm 145.00 Pm.upf
Er 167.26 Er.upf
Tl 204.38 Tl.upf
ATOMIC_POSITIONS crystal
Pm 0.0000 0.0000 0.0000
Er 0.1300 0.1300 0.6099
Er 0.8700 0.8700 0.3901
Tl 0.3847 0.3847 0.8458
Tl 0.2412 0.2412 0.2764
Tl 0.7588 0.7588 0.7236
Tl 0.6153 0.6153 0.1542
CELL_PARAMETERS angstrom
-1.8402 1.1039 -4.4003
-2.6057 -3.3291 -2.4688
-9.9402 2.6284 2.0929
```

Calculated values
The space-group type is No. 166. The crystal system is trigonal. The spin magnetization comes out at 0.00 Bohr magnetons per cell. As for the volume: 209.7 Å³ per cell. The total energy comes out at -24.047 eV for the cell shown. The energy of formation from the pure elements comes out at -0.1007 eV/atom.

---

VASP calculation (PBE-GGA) on a relaxed structure of PmEr2Tl3. Values from VASP.

Structure (Quantum ESPRESSO input):
```
&SYSTEM
  ibrav = 0, nat = 6, ntyp = 3
/
ATOMIC_SPECIES
Pm 145.00 Pm.upf
Er 167.26 Er.upf
Tl 204.38 Tl.upf
ATOMIC_POSITIONS crystal
Pm 0.5000 0.5000 0.5000
Er 0.5000 0.5000 0.8380
Er 0.5000 0.5000 0.1620
Tl 0.0000 0.0000 0.0000
Tl 0.0000 0.0000 0.6770
Tl 0.0000 0.0000 0.3230
CELL_PARAMETERS angstrom
3.7623 0.0000 0.0000
0.0000 3.7623 0.0000
0.0000 0.0000 11.6665
```

Calculated values
The space-group type is No. 123. The crystal system is tetragonal. The spin magnetization comes out at 0.00 Bohr magnetons per cell. As for the volume: 165.1 Å³ per cell. The total energy comes out at -23.029 eV for the cell shown. The energy of formation from the pure elements comes out at -0.3423 eV/atom.

---

VASP calculation (PBE-GGA) on a relaxed structure of Pm4Er3Tl5. Values from VASP.

Structure (Quantum ESPRESSO input):
```
&SYSTEM
  ibrav = 0, nat = 12, ntyp = 3
/
ATOMIC_SPECIES
Pm 145.00 Pm.upf
Er 167.26 Er.upf
Tl 204.38 Tl.upf
ATOMIC_POSITIONS crystal
Pm 0.8260 0.2480 0.1001
Pm 0.2547 0.9080 0.5826
Pm 0.7453 0.0920 0.4174
Pm 0.1740 0.7520 0.8999
Er 0.5980 0.6828 0.1212
Er 0.0000 0.5000 0.5000
Er 0.4020 0.3172 0.8788
Tl 0.6446 0.9117 0.7991
Tl 0.5000 0.5000 0.5000
Tl 0.0478 0.6541 0.2503
Tl 0.9522 0.3459 0.7497
Tl 0.3554 0.0883 0.2009
CELL_PARAMETERS angstrom
5.5845 0.0000 0.0000
2.7922 8.0477 -2.6755
2.7922 -1.6960 8.7067
```

Calculated values
The space-group type is No. 12. The crystal system is monoclinic. The spin magnetization comes out at 0.00 Bohr magnetons per cell. As for the volume: 366.0 Å³ per cell. The total energy comes out at -46.852 eV for the cell shown. The energy of formation from the pure elements comes out at -0.1941 eV/atom.

---

VASP calculation (PBE-GGA) on a relaxed structure of Pm3ErTl4. Values from VASP.

Structure (Quantum ESPRESSO input):
```
&SYSTEM
  ibrav = 0, nat = 8, ntyp = 3
/
ATOMIC_SPECIES
Tl 204.38 Tl.upf
Er 167.26 Er.upf
Pm 145.00 Pm.upf
ATOMIC_POSITIONS crystal
Tl 0.0000 0.0000 0.8839
Tl 0.0000 0.0000 0.1161
Tl 0.0000 0.0000 0.3719
Tl 0.0000 0.0000 0.6281
Er 0.5000 0.5000 0.0000
Pm 0.5000 0.5000 0.2444
Pm 0.5000 0.5000 0.5000
Pm 0.5000 0.5000 0.7556
CELL_PARAMETERS angstrom
-2.8973 -1.6833 -1.8567
-0.8880 -1.9644 3.1667
-9.5276 11.4866 4.4538
```

Calculated values
The space-group type is No. 123. The crystal system is tetragonal. The spin magnetization comes out at 0.00 Bohr magnetons per cell. As for the volume: 228.6 Å³ per cell. The total energy comes out at -31.276 eV for the cell shown. The energy of formation from the pure elements comes out at -0.3745 eV/atom.

---

VASP calculation (PBE-GGA) on a relaxed structure of Pm2Er3Tl3. Values from VASP.

Structure (Quantum ESPRESSO input):
```
&SYSTEM
  ibrav = 0, nat = 8, ntyp = 3
/
ATOMIC_SPECIES
Pm 145.00 Pm.upf
Er 167.26 Er.upf
Tl 204.38 Tl.upf
ATOMIC_POSITIONS crystal
Pm 0.2593 0.7593 0.5187
Pm 0.7407 0.2407 0.4813
Er 0.3831 0.3831 0.7662
Er 0.6169 0.6169 0.2338
Er 0.5000 0.0000 0.0000
Tl 0.8759 0.8759 0.7517
Tl 0.0000 0.5000 0.0000
Tl 0.1241 0.1241 0.2483
CELL_PARAMETERS angstrom
4.4539 0.0000 -0.7173
-0.1848 4.7710 -1.1473
-0.5553 0.0339 10.7388
```

Calculated values
The space-group type is No. 71. The crystal system is orthorhombic. The spin magnetization comes out at 0.00 Bohr magnetons per cell. As for the volume: 226.5 Å³ per cell. The total energy comes out at -32.177 eV for the cell shown. The energy of formation from the pure elements comes out at -0.2360 eV/atom.

---

VASP calculation (PBE-GGA) on a relaxed structure of Pm2Er2Tl. Values from VASP.

Structure (Quantum ESPRESSO input):
```
&SYSTEM
  ibrav = 0, nat = 10, ntyp = 3
/
ATOMIC_SPECIES
Pm 145.00 Pm.upf
Er 167.26 Er.upf
Tl 204.38 Tl.upf
ATOMIC_POSITIONS crystal
Pm 0.6802 0.3731 0.7124
Pm 0.3198 0.6269 0.2876
Pm 0.0533 0.6269 0.7124
Pm 0.9467 0.3731 0.2876
Er 0.7205 0.0000 0.4350
Er 0.6109 0.0000 0.1118
Er 0.3891 0.0000 0.8882
Er 0.2795 0.0000 0.5650
Tl 0.1698 0.6603 0.0000
Tl 0.8302 0.3397 0.0000
CELL_PARAMETERS angstrom
-4.4415 -0.4696 7.2801
-6.0532 -1.6089 1.2133
-0.3555 -7.5826 4.8550
```

Calculated values
The space-group type is No. 12. The crystal system is monoclinic. The spin magnetization comes out at 0.00 Bohr magnetons per cell. As for the volume: 310.2 Å³ per cell. The total energy comes out at -42.409 eV for the cell shown. The energy of formation from the pure elements comes out at -0.0422 eV/atom.